Record 1
The following is a PBE-GGA calculation of an optimized crystal structure of PuCdBiH, from Alexandria.

a = 4.3895 Å, b = 4.3895 Å, c = 8.9512 Å
α = 90.00°, β = 90.00°, γ = 90.00°
With the nearest neighbours (Å) after each atom.
Space group P4/nmm (No. 129, origin choice 2)
Unique sites:
Pu  0.2500  0.2500  0.1107 x2  4 H 2.41
Cd  0.2500  0.7500  0.5000 x2  4 Bi 3.08, 4 Cd 3.10
Bi  0.2500  0.2500  0.7420 x2  4 Cd 3.08, 4 H 3.19, 5 Pu 3.30-3.37
H  0.2500  0.7500  0.0000 x2  4 Pu 2.41

=====

Record 2
The following is a PBE-GGA calculation of an optimized crystal structure of LaHo2Tm9, from Alexandria.

a = 11.1145 Å, b = 11.1145 Å, c = 3.4951 Å
α = 90.00°, β = 90.00°, γ = 120.00°
With the nearest neighbours (Å) after each atom.
Space group P6/mmm (No. 191)
Unique sites:
La  0.0000  0.0000  0.0000 x1  2 La 3.50, 12 Tm 3.88
Ho  0.3333  0.6667  0.0000 x2  9 Tm 3.21-3.43, 2 Ho 3.50
Tm  0.0000  0.5000  0.0000 x3  2 Ho 3.21, 10 Tm 3.50-3.55
Tm  0.1797  0.3595  0.5000 x6  2 Ho 3.43, 8 Tm 3.46-3.55

ΔH_f (0 K): 0.88 kcal/mol of atoms
energy above the most stable polymorph in this dataset: 6 meV/atom

=====

no.,E_tot (eV per atom),DOS(E_F) (states/eV/f.u.)
1,-5.834,9.5
2,-4.489,16.8